1.
Computed, not measured: a relaxed structure of Cu4Ag at the PBE-GGA level of DFT.

Cell lengths 9.0645, 9.0645, 5.4296 Å; angles 98.54, 98.54, 17.18 degrees
Closest atoms and distances in Å follow each position.
Fractional positions:
Cu1 0.9996 0.9996 0.2256  7 Cu 2.45-2.71, 4 Ag 2.68
Cu2 0.0004 0.0004 0.7744  7 Cu 2.45-2.71, 4 Ag 2.68
Cu3 0.2021 0.2021 0.8630  9 Cu 2.50-2.71, 2 Ag 2.68
Cu4 0.2055 0.2055 0.3421  9 Cu 2.52-2.71, 2 Ag 2.70
Cu5 0.3968 0.3968 0.9475  10 Cu 2.57-2.71, 2 Ag 2.70-2.73
Cu6 0.6032 0.6032 0.0525  10 Cu 2.57-2.71, 2 Ag 2.70-2.73
Cu7 0.7945 0.7945 0.6579  9 Cu 2.52-2.71, 2 Ag 2.70
Cu8 0.7979 0.7979 0.1370  9 Cu 2.50-2.71, 2 Ag 2.68
Ag1 0.3999 0.3999 0.4518  10 Cu 2.68-2.73, 2 Ag 2.71
Ag2 0.6001 0.6001 0.5482  10 Cu 2.68-2.73, 2 Ag 2.71

## Properties
E above lowest polymorph in eV/atom: 0.023
Uncorrected energy in eV/atom: -3.471
Space group: C2/m (12)
DFT formation energy in eV per atom: 0.067

***

2.
Computed, not measured: a relaxed structure of SmGdSc2Si2 at the PBE-GGA level of DFT.

Cell lengths 8.3670, 8.3670, 8.3670 Å; angles 150.62, 150.62, 42.02 degrees
Closest atoms and distances in Å follow each position.
Fractional positions:
Sm1 0.0000 0.0000 0.0000  5 Si 3.08-3.11
Gd1 0.6460 0.6460 0.0000  5 Si 3.10-3.11
Sc1 0.3219 0.8219 0.5000  4 Si 2.88-2.89, 4 Sc 3.00
Sc2 0.8219 0.3219 0.5000  4 Si 2.88-2.89, 4 Sc 3.00
Si1 0.1974 0.1974 0.0000  4 Sc 2.88, 1 Sm 3.08, 4 Gd 3.11
Si2 0.4477 0.4477 0.0000  4 Sc 2.89, 1 Gd 3.10, 4 Sm 3.11

## Properties
Uncorrected energy in eV/atom: -6.118
Space group: I4mm (107)

***

3.
Computed, not measured: a relaxed structure of NaGaSiNi at the PBE-GGA level of DFT.

Cell lengths 4.4633, 4.4633, 4.4633 Å; angles 60.00, 60.00, 60.00 degrees
Closest atoms and distances in Å follow each position.
Fractional positions:
Na1 0.0000 0.0000 0.0000  4 Ni 2.73, 4 Si 2.73
Ga1 0.5000 0.5000 0.5000  4 Ni 2.73, 4 Si 2.73
Si1 0.7500 0.7500 0.7500  4 Ga 2.73, 4 Na 2.73
Ni1 0.2500 0.2500 0.2500  4 Na 2.73, 4 Ga 2.73

## Properties
E above lowest polymorph in eV/atom: 0.182
Uncorrected energy in eV/atom: -3.543
Space group: F-43m (216)

***

4.
Computed, not measured: a relaxed structure of ErTlZnSe3 at the PBE-GGA level of DFT.

Cell lengths 8.3271, 4.0991, 10.5776 Å; angles 90.00, 109.47, 90.00 degrees
Closest atoms and distances in Å follow each position.
Fractional positions:
Er1 0.1888 0.2500 0.1393  6 Se 2.80-3.00
Er2 0.8112 0.7500 0.8607  6 Se 2.80-3.00
Tl1 0.2298 0.7500 0.7128  4 Se 3.23-3.37
Tl2 0.7702 0.2500 0.2872  4 Se 3.23-3.37
Zn1 0.4231 0.7500 0.3910  4 Se 2.45-2.57
Zn2 0.5769 0.2500 0.6090  4 Se 2.45-2.57
Se1 0.0489 0.2500 0.8593  3 Er 2.80-2.85
Se2 0.2736 0.2500 0.4384  3 Zn 2.53-2.57
Se3 0.4338 0.7500 0.1625  1 Zn 2.45
Se4 0.5662 0.2500 0.8375  1 Zn 2.45
Se5 0.7264 0.7500 0.5616  3 Zn 2.53-2.57
Se6 0.9511 0.7500 0.1407  3 Er 2.80-2.85

## Properties
Uncorrected energy in eV/atom: -4.223
Space group: P2_1/m (11)

***

5.
Computed, not measured: a relaxed structure of PaCdW at the PBE-GGA level of DFT.

Cell lengths 4.7582, 4.7582, 4.7582 Å; angles 60.00, 60.00, 60.00 degrees
Closest atoms and distances in Å follow each position.
Fractional positions:
Pa1 0.0000 0.0000 0.0000  4 Cd 2.91, 4 W 2.91
Cd1 0.7500 0.7500 0.7500  4 Pa 2.91
W1 0.2500 0.2500 0.2500  4 Pa 2.91

## Properties
Uncorrected energy in eV/atom: -6.354
Space group: F-43m (216)
DFT formation energy in eV per atom: 1.430

***

6.
Computed, not measured: a relaxed structure of NbZnNiAu at the PBE-GGA level of DFT.

Cell lengths 4.4177, 4.4177, 4.4177 Å; angles 60.00, 60.00, 60.00 degrees
Closest atoms and distances in Å follow each position.
Fractional positions:
Nb1 0.0000 0.0000 0.0000  4 Zn 2.71, 4 Au 2.71
Zn1 0.2500 0.2500 0.2500  4 Nb 2.71, 4 Ni 2.71
Ni1 0.5000 0.5000 0.5000  4 Au 2.71, 4 Zn 2.71
Au1 0.7500 0.7500 0.7500  4 Ni 2.71, 4 Nb 2.71

## Properties
Uncorrected energy in eV/atom: -5.074
Space group: F-43m (216)
DFT formation energy in eV per atom: -0.026

***

7.
Computed, not measured: a relaxed structure of Cs2LiErF6 at the PBE-GGA level of DFT.

Cell lengths 6.0296, 6.0296, 6.0296 Å; angles 60.00, 60.00, 60.00 degrees
Closest atoms and distances in Å follow each position.
Fractional positions:
Cs1 0.2500 0.2500 0.2500  12 F 3.01
Cs2 0.7500 0.7500 0.7500  12 F 3.01
Li1 0.0000 0.0000 0.0000  6 F 2.11
Er1 0.5000 0.5000 0.5000  6 F 2.15
F1 0.2474 0.2474 0.7526  1 Li 2.11, 1 Er 2.15
F2 0.2474 0.7526 0.2474  1 Li 2.11, 1 Er 2.15
F3 0.2474 0.7526 0.7526  1 Li 2.11, 1 Er 2.15
F4 0.7526 0.2474 0.2474  1 Li 2.11, 1 Er 2.15
F5 0.7526 0.2474 0.7526  1 Li 2.11, 1 Er 2.15
F6 0.7526 0.7526 0.2474  1 Li 2.11, 1 Er 2.15

## Properties
Uncorrected energy in eV/atom: -5.250
Space group: Fm-3m (225)

***

8.
Computed, not measured: a relaxed structure of KLuGaSe3 at the PBE-GGA level of DFT.

Cell lengths 7.5310, 7.5310, 10.7259 Å; angles 90.00, 90.00, 145.17 degrees
Closest atoms and distances in Å follow each position.
Fractional positions:
K1 0.2486 0.7514 0.7500  8 Se 3.47-3.79, 1 Ga 3.80
K2 0.7514 0.2486 0.2500  8 Se 3.47-3.79, 1 Ga 3.80
Lu1 0.5000 0.5000 0.0000  6 Se 2.84-2.93
Lu2 0.5000 0.5000 0.5000  6 Se 2.84-2.93
Ga1 0.0155 0.9845 0.2500  4 Se 2.53-2.54
Ga2 0.9845 0.0155 0.7500  4 Se 2.53-2.54
Se1 0.1218 0.8782 0.0603  1 Ga 2.54
Se2 0.1218 0.8782 0.4397  1 Ga 2.54
Se3 0.4351 0.5649 0.2500  2 Ga 2.53
Se4 0.5649 0.4351 0.7500  2 Ga 2.53
Se5 0.8782 0.1218 0.5603  1 Ga 2.54
Se6 0.8782 0.1218 0.9397  1 Ga 2.54

## Properties
Uncorrected energy in eV/atom: -4.377
Space group: Cmcm (63)

***

9.
Computed, not measured: a relaxed structure of NpInCu at the PBE-GGA level of DFT.

Cell lengths 4.5593, 4.5593, 4.5593 Å; angles 60.00, 60.00, 60.00 degrees
Closest atoms and distances in Å follow each position.
Fractional positions:
Np1 0.0000 0.0000 0.0000  4 Cu 2.79
In1 0.5000 0.5000 0.5000  4 Cu 2.79
Cu1 0.7500 0.7500 0.7500  4 In 2.79, 4 Np 2.79

## Properties
Uncorrected energy in eV/atom: -6.079
Space group: F-43m (216)

***

10.
Computed, not measured: a relaxed structure of Hf2NbPb at the PBE-GGA level of DFT.

Cell lengths 3.6215, 3.6215, 6.5520 Å; angles 90.00, 90.00, 90.00 degrees
Closest atoms and distances in Å follow each position.
Fractional positions:
Hf1 0.0000 0.0000 0.2311  4 Nb 2.97, 1 Hf 3.03, 4 Pb 3.11
Hf2 0.0000 0.0000 0.7689  4 Nb 2.97, 1 Hf 3.03, 4 Pb 3.11
Nb1 0.5000 0.5000 0.0000  8 Hf 2.97, 2 Pb 3.28
Pb1 0.5000 0.5000 0.5000  8 Hf 3.11, 2 Nb 3.28

## Properties
Uncorrected energy in eV/atom: -8.492
Space group: P4/mmm (123)

***

11.
Computed, not measured: a relaxed structure of YCoSbAu at the PBE-GGA level of DFT.

Cell lengths 4.8242, 4.8242, 4.8242 Å; angles 60.00, 60.00, 60.00 degrees
Closest atoms and distances in Å follow each position.
Fractional positions:
Y1 0.0000 0.0000 0.0000  4 Sb 2.95, 4 Au 2.95
Co1 0.5000 0.5000 0.5000  4 Au 2.95, 4 Sb 2.95
Sb1 0.2500 0.2500 0.2500  4 Co 2.95, 4 Y 2.95
Au1 0.7500 0.7500 0.7500  4 Co 2.95, 4 Y 2.95

## Properties
E above lowest polymorph in eV/atom: 0.016
Uncorrected energy in eV/atom: -5.467
Space group: F-43m (216)

***

12.
Computed, not measured: a relaxed structure of HoZnO3 at the PBE-GGA level of DFT.

Cell lengths 5.7157, 5.7157, 5.7157 Å; angles 56.94, 56.94, 56.94 degrees
Closest atoms and distances in Å follow each position.
Fractional positions:
Ho1 0.1350 0.1350 0.1350  6 O 2.19-2.32
Ho2 0.8650 0.8650 0.8650  6 O 2.19-2.32
Zn1 0.3510 0.3510 0.3510  6 O 2.04-2.14
Zn2 0.6490 0.6490 0.6490  6 O 2.04-2.14
O1 0.0549 0.7190 0.4696  2 Zn 2.04-2.14, 1 Ho 2.19
O2 0.2810 0.5304 0.9451  2 Zn 2.04-2.14, 1 Ho 2.19
O3 0.4696 0.0549 0.7190  2 Zn 2.04-2.14, 1 Ho 2.19
O4 0.5304 0.9451 0.2810  2 Zn 2.04-2.14, 1 Ho 2.19
O5 0.7190 0.4696 0.0549  2 Zn 2.04-2.14, 1 Ho 2.19
O6 0.9451 0.2810 0.5304  2 Zn 2.04-2.14, 1 Ho 2.19

## Properties
Uncorrected energy in eV/atom: -6.217
Space group: R-3 (148)

***

Question: The lowest uncorrected energy belongs to which entry?
Answer: Hf2NbPb